Run one
IrOsNF2: optimized geometry, GGA-PBE.

Summary:
The volume comes out at 14.6 Å³ per atom. The magnetization comes out at 0.735 μB/atom.

Unit cell a=4.4659 b=4.4659 c=3.6701 alpha=90.00 beta=90.00 gamma=90.00
Fractional positions:
1 Ir 0.0000 0.0000 0.0000
2 Os 0.5000 0.5000 0.5000
3 N 0.0000 0.0000 0.5000
4 F 0.0000 0.5000 0.0000
5 F 0.5000 0.0000 0.0000

=====

Run two
IrOsNF2: optimized geometry, GGA-PBE.

Summary:
The volume comes out at 13.6 Å³ per atom. The magnetization comes out at 0.365 μB/atom.

Unit cell a=4.2673 b=4.2673 c=3.7428 alpha=90.00 beta=90.00 gamma=90.00
Fractional positions:
1 Ir 0.0000 0.0000 0.0000
2 Os 0.5000 0.5000 0.5000
3 N 0.5000 0.5000 0.0000
4 F 0.0000 0.5000 0.5000
5 F 0.5000 0.0000 0.5000

=====

Pick run two: it beats the second-best structure by 197 meV per atom.

=====

Run one
PIrN2F: optimized geometry, GGA-PBE.

Summary:
The volume comes out at 12.6 Å³ per atom. The magnetization comes out at 0.151 μB/atom.

Unit cell a=3.8727 b=3.8727 c=4.2139 alpha=90.00 beta=90.00 gamma=90.00
Fractional positions:
1 P 0.0000 0.0000 0.0000
2 Ir 0.5000 0.5000 0.5000
3 N 0.0000 0.5000 0.5000
4 N 0.5000 0.0000 0.5000
5 F 0.5000 0.5000 0.0000

=====

Run two
PIrN2F: optimized geometry, GGA-PBE.

Summary:
The volume comes out at 9.6 Å³ per atom. The magnetization comes out at 0.000 μB/atom.

Unit cell a=3.7056 b=3.7056 c=3.4917 alpha=90.00 beta=90.00 gamma=90.00
Fractional positions:
1 P 0.0000 0.0000 0.0000
2 Ir 0.5000 0.5000 0.5000
3 N 0.0000 0.5000 0.0000
4 N 0.5000 0.0000 0.0000
5 F 0.0000 0.0000 0.5000

=====

Pick run two: it beats the second-best structure by 17 meV per atom.

=====

Run one
IrPbN2F: optimized geometry, GGA-PBE.

Summary:
The volume comes out at 16.2 Å³ per atom. The magnetization comes out at 0.000 μB/atom.

Unit cell a=3.7673 b=3.7673 c=5.6983 alpha=90.00 beta=90.00 gamma=90.00
Fractional positions:
1 Ir 0.0000 0.0000 0.0000
2 Pb 0.5000 0.5000 0.5000
3 N 0.0000 0.5000 0.0000
4 N 0.5000 0.0000 0.0000
5 F 0.0000 0.0000 0.5000

=====

Run two
IrPbN2F: optimized geometry, GGA-PBE.

Summary:
The volume comes out at 15.5 Å³ per atom. The magnetization comes out at 0.284 μB/atom.

Unit cell a=4.3220 b=4.3220 c=4.1519 alpha=90.00 beta=90.00 gamma=90.00
Fractional positions:
1 Ir 0.0000 0.0000 0.0000
2 Pb 0.5000 0.5000 0.5000
3 N 0.0000 0.5000 0.5000
4 N 0.5000 0.0000 0.5000
5 F 0.5000 0.5000 0.0000

=====

Pick run one: it beats the second-best structure by 1702 meV per atom.

=====

Run one
IrPtN2F: optimized geometry, GGA-PBE.

Summary:
The volume comes out at 12.8 Å³ per atom. The magnetization comes out at 0.183 μB/atom.

Unit cell a=3.9231 b=3.9231 c=4.1433 alpha=90.00 beta=90.00 gamma=90.00
Fractional positions:
1 Ir 0.0000 0.0000 0.0000
2 Pt 0.5000 0.5000 0.5000
3 N 0.0000 0.5000 0.5000
4 N 0.5000 0.0000 0.5000
5 F 0.5000 0.5000 0.0000

=====

Run two
IrPtN2F: optimized geometry, GGA-PBE.

Summary:
The volume comes out at 12.5 Å³ per atom. The magnetization comes out at 0.000 μB/atom.

Unit cell a=3.8534 b=3.8534 c=4.2241 alpha=90.00 beta=90.00 gamma=90.00
Fractional positions:
1 Ir 0.0000 0.0000 0.0000
2 Pt 0.5000 0.5000 0.5000
3 N 0.0000 0.5000 0.0000
4 N 0.5000 0.0000 0.0000
5 F 0.0000 0.0000 0.5000

=====

Pick run two: it beats the second-best structure by 612 meV per atom.

=====

Run one
IrPtNF2: optimized geometry, GGA-PBE.

Summary:
The volume comes out at 13.8 Å³ per atom. The magnetization comes out at 0.135 μB/atom.

Unit cell a=4.3130 b=4.3130 c=3.7201 alpha=90.00 beta=90.00 gamma=90.00
Fractional positions:
1 Ir 0.0000 0.0000 0.0000
2 Pt 0.5000 0.5000 0.5000
3 N 0.0000 0.0000 0.5000
4 F 0.0000 0.5000 0.0000
5 F 0.5000 0.0000 0.0000

=====

Run two
IrPtNF2: optimized geometry, GGA-PBE.

Summary:
The volume comes out at 14.9 Å³ per atom. The magnetization comes out at 0.443 μB/atom.

Unit cell a=4.5056 b=4.5056 c=3.6696 alpha=90.00 beta=90.00 gamma=90.00
Fractional positions:
1 Ir 0.0000 0.0000 0.0000
2 Pt 0.5000 0.5000 0.5000
3 N 0.5000 0.5000 0.0000
4 F 0.0000 0.5000 0.5000
5 F 0.5000 0.0000 0.5000

=====

Pick run one: it beats the second-best structure by 449 meV per atom.

=====

Run one
Ir2PtNF: optimized geometry, GGA-PBE.

Summary:
The volume comes out at 13.7 Å³ per atom. The magnetization comes out at 0.000 μB/atom.

Unit cell a=3.9954 b=3.9954 c=4.3007 alpha=90.00 beta=90.00 gamma=90.00
Fractional positions:
1 Ir 0.0000 0.5000 0.0000
2 Ir 0.5000 0.0000 0.0000
3 Pt 0.0000 0.0000 0.5000
4 N 0.0000 0.0000 0.0000
5 F 0.5000 0.5000 0.5000

=====

Run two
Ir2PtNF: optimized geometry, GGA-PBE.

Summary:
The volume comes out at 13.0 Å³ per atom. The magnetization comes out at 0.000 μB/atom.

Unit cell a=3.9606 b=3.9606 c=4.1520 alpha=90.00 beta=90.00 gamma=90.00
Fractional positions:
1 Ir 0.0000 0.5000 0.0000
2 Ir 0.5000 0.0000 0.0000
3 Pt 0.0000 0.0000 0.5000
4 N 0.5000 0.5000 0.0000
5 F 0.5000 0.5000 0.5000

=====

Pick run two: it beats the second-best structure by 194 meV per atom.

=====

Run one
ReIrN2F: optimized geometry, GGA-PBE.

Summary:
The volume comes out at 12.8 Å³ per atom. The magnetization comes out at 0.658 μB/atom.

Unit cell a=3.9107 b=3.9107 c=4.1805 alpha=90.00 beta=90.00 gamma=90.00
Fractional positions:
1 Re 0.0000 0.0000 0.0000
2 Ir 0.5000 0.5000 0.5000
3 N 0.0000 0.5000 0.5000
4 N 0.5000 0.0000 0.5000
5 F 0.5000 0.5000 0.0000

=====

Run two
ReIrN2F: optimized geometry, GGA-PBE.

Summary:
The volume comes out at 12.2 Å³ per atom. The magnetization comes out at 0.180 μB/atom.

Unit cell a=3.9234 b=3.9234 c=3.9683 alpha=90.00 beta=90.00 gamma=90.00
Fractional positions:
1 Re 0.0000 0.0000 0.0000
2 Ir 0.5000 0.5000 0.5000
3 N 0.0000 0.5000 0.0000
4 N 0.5000 0.0000 0.0000
5 F 0.0000 0.0000 0.5000

=====

Pick run two: it beats the second-best structure by 548 meV per atom.

=====

Run one
IrRhNF2: optimized geometry, GGA-PBE.

Summary:
The volume comes out at 13.8 Å³ per atom. The magnetization comes out at 0.446 μB/atom.

Unit cell a=4.3235 b=4.3235 c=3.6820 alpha=90.00 beta=90.00 gamma=90.00
Fractional positions:
1 Ir 0.0000 0.0000 0.0000
2 Rh 0.5000 0.5000 0.5000
3 N 0.5000 0.5000 0.0000
4 F 0.0000 0.5000 0.5000
5 F 0.5000 0.0000 0.5000

=====

Run two
IrRhNF2: optimized geometry, GGA-PBE.

Summary:
The volume comes out at 14.2 Å³ per atom. The magnetization comes out at 0.369 μB/atom.

Unit cell a=4.3863 b=4.3863 c=3.6898 alpha=90.00 beta=90.00 gamma=90.00
Fractional positions:
1 Ir 0.0000 0.0000 0.0000
2 Rh 0.5000 0.5000 0.5000
3 N 0.0000 0.0000 0.5000
4 F 0.0000 0.5000 0.0000
5 F 0.5000 0.0000 0.0000

=====

Pick run two: it beats the second-best structure by 359 meV per atom.

=====

Run one
IrRuN2F: optimized geometry, GGA-PBE.

Summary:
The volume comes out at 13.3 Å³ per atom. The magnetization comes out at 0.708 μB/atom.

Unit cell a=3.7930 b=3.7930 c=4.6131 alpha=90.00 beta=90.00 gamma=90.00
Fractional positions:
1 Ir 0.0000 0.0000 0.0000
2 Ru 0.5000 0.5000 0.5000
3 N 0.0000 0.5000 0.0000
4 N 0.5000 0.0000 0.0000
5 F 0.0000 0.0000 0.5000

=====

Run two
IrRuN2F: optimized geometry, GGA-PBE.

Summary:
The volume comes out at 12.0 Å³ per atom. The magnetization comes out at 0.164 μB/atom.

Unit cell a=3.8717 b=3.8717 c=3.9944 alpha=90.00 beta=90.00 gamma=90.00
Fractional positions:
1 Ir 0.0000 0.0000 0.0000
2 Ru 0.5000 0.5000 0.5000
3 N 0.0000 0.5000 0.5000
4 N 0.5000 0.0000 0.5000
5 F 0.5000 0.5000 0.0000

=====

Pick run one: it beats the second-best structure by 85 meV per atom.

=====

Run one
IrSN2F: optimized geometry, GGA-PBE.

Summary:
The volume comes out at 12.4 Å³ per atom. The magnetization comes out at 0.000 μB/atom.

Unit cell a=3.8833 b=3.8833 c=4.0983 alpha=90.00 beta=90.00 gamma=90.00
Fractional positions:
1 Ir 0.0000 0.0000 0.0000
2 S 0.5000 0.5000 0.5000
3 N 0.0000 0.5000 0.0000
4 N 0.5000 0.0000 0.0000
5 F 0.0000 0.0000 0.5000

=====

Run two
IrSN2F: optimized geometry, GGA-PBE.

Summary:
The volume comes out at 10.5 Å³ per atom. The magnetization comes out at 0.000 μB/atom.

Unit cell a=3.8323 b=3.8323 c=3.5689 alpha=90.00 beta=90.00 gamma=90.00
Fractional positions:
1 Ir 0.0000 0.0000 0.0000
2 S 0.5000 0.5000 0.5000
3 N 0.0000 0.5000 0.5000
4 N 0.5000 0.0000 0.5000
5 F 0.5000 0.5000 0.0000

=====

Pick run one: it beats the second-best structure by 761 meV per atom.

=====

Run one
SbIrNF2: optimized geometry, GGA-PBE.

Summary:
The volume comes out at 15.5 Å³ per atom. The magnetization comes out at 0.000 μB/atom.

Unit cell a=4.5895 b=4.5895 c=3.6780 alpha=90.00 beta=90.00 gamma=90.00
Fractional positions:
1 Sb 0.0000 0.0000 0.0000
2 Ir 0.5000 0.5000 0.5000
3 N 0.5000 0.5000 0.0000
4 F 0.0000 0.5000 0.5000
5 F 0.5000 0.0000 0.5000

=====

Run two
SbIrNF2: optimized geometry, GGA-PBE.

Summary:
The volume comes out at 15.7 Å³ per atom. The magnetization comes out at 0.422 μB/atom.

Unit cell a=4.2604 b=4.2604 c=4.3127 alpha=90.00 beta=90.00 gamma=90.00
Fractional positions:
1 Sb 0.0000 0.0000 0.0000
2 Ir 0.5000 0.5000 0.5000
3 N 0.0000 0.0000 0.5000
4 F 0.0000 0.5000 0.0000
5 F 0.5000 0.0000 0.0000

=====

Pick run one: it beats the second-best structure by 579 meV per atom.

=====

Run one
ScIrN2F: optimized geometry, GGA-PBE.

Summary:
The volume comes out at 13.3 Å³ per atom. The magnetization comes out at 0.189 μB/atom.

Unit cell a=4.2056 b=4.2056 c=3.7614 alpha=90.00 beta=90.00 gamma=90.00
Fractional positions:
1 Sc 0.0000 0.0000 0.0000
2 Ir 0.5000 0.5000 0.5000
3 N 0.0000 0.5000 0.0000
4 N 0.5000 0.0000 0.0000
5 F 0.0000 0.0000 0.5000

=====

Run two
ScIrN2F: optimized geometry, GGA-PBE.

Summary:
The volume comes out at 12.9 Å³ per atom. The magnetization comes out at 0.000 μB/atom.

Unit cell a=3.8455 b=3.8455 c=4.3737 alpha=90.00 beta=90.00 gamma=90.00
Fractional positions:
1 Sc 0.0000 0.0000 0.0000
2 Ir 0.5000 0.5000 0.5000
3 N 0.0000 0.5000 0.5000
4 N 0.5000 0.0000 0.5000
5 F 0.5000 0.5000 0.0000

=====

Pick run two: it beats the second-best structure by 537 meV per atom.

=====

Run one
SiIrNF2: optimized geometry, GGA-PBE.

Summary:
The volume comes out at 11.7 Å³ per atom. The magnetization comes out at 0.437 μB/atom.

Unit cell a=4.2469 b=4.2469 c=3.2385 alpha=90.00 beta=90.00 gamma=90.00
Fractional positions:
1 Si 0.0000 0.0000 0.0000
2 Ir 0.5000 0.5000 0.5000
3 N 0.0000 0.0000 0.5000
4 F 0.0000 0.5000 0.0000
5 F 0.5000 0.0000 0.0000

=====

Run two
SiIrNF2: optimized geometry, GGA-PBE.

Summary:
The volume comes out at 14.6 Å³ per atom. The magnetization comes out at 0.000 μB/atom.

Unit cell a=4.4486 b=4.4486 c=3.6940 alpha=90.00 beta=90.00 gamma=90.00
Fractional positions:
1 Si 0.0000 0.0000 0.0000
2 Ir 0.5000 0.5000 0.5000
3 N 0.5000 0.5000 0.0000
4 F 0.0000 0.5000 0.5000
5 F 0.5000 0.0000 0.5000

=====

Pick run one: it beats the second-best structure by 90 meV per atom.

=====

Run one
SnIrN2F: optimized geometry, GGA-PBE.

Summary:
The volume comes out at 13.5 Å³ per atom. The magnetization comes out at 0.169 μB/atom.

Unit cell a=4.1574 b=4.1574 c=3.9151 alpha=90.00 beta=90.00 gamma=90.00
Fractional positions:
1 Sn 0.0000 0.0000 0.0000
2 Ir 0.5000 0.5000 0.5000
3 N 0.0000 0.5000 0.0000
4 N 0.5000 0.0000 0.0000
5 F 0.0000 0.0000 0.5000

=====

Run two
SnIrN2F: optimized geometry, GGA-PBE.

Summary:
The volume comes out at 16.0 Å³ per atom. The magnetization comes out at 0.000 μB/atom.

Unit cell a=3.7561 b=3.7561 c=5.6706 alpha=90.00 beta=90.00 gamma=90.00
Fractional positions:
1 Sn 0.0000 0.0000 0.0000
2 Ir 0.5000 0.5000 0.5000
3 N 0.0000 0.5000 0.5000
4 N 0.5000 0.0000 0.5000
5 F 0.5000 0.5000 0.0000

=====

Pick run two: it beats the second-best structure by 981 meV per atom.